[1]
The following is a GGA-PBE calculation of a geometry-optimized SrZnPb2I structure, from the Alexandria database.

Results
Energy ... -2.5519 eV/atom
Raw formation energy ... -0.1674 eV/atom

Cell and atoms, written as CIF:
```
data_SrZnPb2I
_chemical_formula_sum 'Sr1 Zn1 Pb2 I1'
_symmetry_space_group_name_H-M 'P 4/m m m'
_symmetry_Int_Tables_number 123
_symmetry_space_group_name_Hall '-P 4 2'
_cell_length_a 5.258
_cell_length_b 5.258
_cell_length_c 6.665
_cell_angle_alpha 90.00
_cell_angle_beta 90.00
_cell_angle_gamma 90.00
loop_
_atom_site_label
_atom_site_fract_x
_atom_site_fract_y
_atom_site_fract_z
_atom_site_occupancy
Sr1 0.000 0.000 0.000 1
Zn1 0.000 0.000 0.500 1
Pb1 0.000 0.500 0.500 1
I1 0.500 0.500 0.000 1
```

***

[2]
The following is a GGA-PBE calculation of a geometry-optimized TaPb3I structure, from the Alexandria database.

Results
Energy ... -4.5370 eV/atom
Raw formation energy ... 0.3686 eV/atom

Cell and atoms, written as CIF:
```
data_TaPb3I
_chemical_formula_sum 'Ta1 Pb3 I1'
_symmetry_space_group_name_H-M 'P m -3 m'
_symmetry_Int_Tables_number 221
_symmetry_space_group_name_Hall '-P 4 2 3'
_cell_length_a 5.588
_cell_length_b 5.588
_cell_length_c 5.588
_cell_angle_alpha 90.00
_cell_angle_beta 90.00
_cell_angle_gamma 90.00
loop_
_atom_site_label
_atom_site_fract_x
_atom_site_fract_y
_atom_site_fract_z
_atom_site_occupancy
Ta1 0.000 0.000 0.000 1
Pb1 0.000 0.000 0.500 1
I1 0.500 0.500 0.500 1
```

***

[3]
The following is a GGA-PBE calculation of a geometry-optimized TaPb2I structure, from the Alexandria database.

Results
Energy ... -4.1651 eV/atom
Raw formation energy ... 1.0397 eV/atom

Cell and atoms, written as CIF:
```
data_TaPb2I
_chemical_formula_sum 'Ta4 Pb8 I4'
_symmetry_space_group_name_H-M 'F m -3 m'
_symmetry_Int_Tables_number 225
_symmetry_space_group_name_Hall '-F 4 2 3'
_cell_length_a 7.643
_cell_length_b 7.643
_cell_length_c 7.643
_cell_angle_alpha 90.00
_cell_angle_beta 90.00
_cell_angle_gamma 90.00
loop_
_atom_site_label
_atom_site_fract_x
_atom_site_fract_y
_atom_site_fract_z
_atom_site_occupancy
Ta1 0.000 0.000 0.000 1
Pb1 0.250 0.250 0.250 1
I1 0.000 0.000 0.500 1
```

***

[4]
The following is a GGA-PBE calculation of a geometry-optimized TaPbI3 structure, from the Alexandria database.

Results
Energy ... -3.6570 eV/atom
Raw formation energy ... 0.3853 eV/atom

Cell and atoms, written as CIF:
```
data_TaPbI3
_chemical_formula_sum 'Ta1 Pb1 I3'
_symmetry_space_group_name_H-M 'P m -3 m'
_symmetry_Int_Tables_number 221
_symmetry_space_group_name_Hall '-P 4 2 3'
_cell_length_a 5.666
_cell_length_b 5.666
_cell_length_c 5.666
_cell_angle_alpha 90.00
_cell_angle_beta 90.00
_cell_angle_gamma 90.00
loop_
_atom_site_label
_atom_site_fract_x
_atom_site_fract_y
_atom_site_fract_z
_atom_site_occupancy
Ta1 0.000 0.000 0.000 1
Pb1 0.500 0.500 0.500 1
I1 0.000 0.000 0.500 1
```

***

[5]
The following is a GGA-PBE calculation of a geometry-optimized TaPb3I structure, from the Alexandria database.

Results
Energy ... -3.2299 eV/atom
Raw formation energy ... 1.6757 eV/atom

Cell and atoms, written as CIF:
```
data_TaPb3I
_chemical_formula_sum 'Ta1 Pb3 I1'
_symmetry_space_group_name_H-M 'P m -3 m'
_symmetry_Int_Tables_number 221
_symmetry_space_group_name_Hall '-P 4 2 3'
_cell_length_a 5.880
_cell_length_b 5.880
_cell_length_c 5.880
_cell_angle_alpha 90.00
_cell_angle_beta 90.00
_cell_angle_gamma 90.00
loop_
_atom_site_label
_atom_site_fract_x
_atom_site_fract_y
_atom_site_fract_z
_atom_site_occupancy
Ta1 0.000 0.000 0.000 1
Pb1 0.000 0.500 0.500 1
I1 0.500 0.500 0.500 1
```

***

[6]
The following is a GGA-PBE calculation of a geometry-optimized TaPb2I structure, from the Alexandria database.

Results
Energy ... -4.2137 eV/atom
Raw formation energy ... 0.9912 eV/atom

Cell and atoms, written as CIF:
```
data_TaPb2I
_chemical_formula_sum 'Ta4 Pb8 I4'
_symmetry_space_group_name_H-M 'I -4 2 d'
_symmetry_Int_Tables_number 122
_symmetry_space_group_name_Hall 'I -4 2bw'
_cell_length_a 6.611
_cell_length_b 6.611
_cell_length_c 15.608
_cell_angle_alpha 90.00
_cell_angle_beta 90.00
_cell_angle_gamma 90.00
loop_
_atom_site_label
_atom_site_fract_x
_atom_site_fract_y
_atom_site_fract_z
_atom_site_occupancy
Ta1 0.000 0.000 0.000 1
Pb1 0.156 0.250 0.125 1
I1 0.000 0.000 0.500 1
```